# 1
VASP calculation (PBE) on a geometry-optimized HfAlIr structure.

a = 4.3789 Å, b = 4.3789 Å, c = 3.0579 Å
α = 90.00°, β = 90.00°, γ = 120.00°
Space group P-6m2 (No. 187)
Unique sites:
Hf  0.0000  0.0000  0.0000
Al  0.6667  0.3333  0.5000
Ir  0.3333  0.6667  0.5000

## Properties
crystal system	hexagonal
spin magnetization	0.00	μB per cell
formation enthalpy at 0 K	-0.7843	eV/atom
N(E_F)	2.011	states/eV/f.u.
calculated total energy	-24.910	eV per formula unit

---

# 2
VASP calculation (PBE) on a geometry-optimized Ti2Co2Hg structure.

a = 4.0278 Å, b = 4.0278 Å, c = 9.7646 Å
α = 90.00°, β = 90.00°, γ = 90.00°
Space group I4/mmm (No. 139)
Unique sites:
Ti  0.0000  0.5000  0.2500
Co  0.0000  0.0000  0.1139
Hg  0.0000  0.0000  0.5000

## Properties
crystal system	tetragonal
spin magnetization	0.00	μB per cell
formation enthalpy at 0 K	-0.0527	eV/atom
N(E_F)	2.435	states/eV/f.u.
polymorph energy (0 for the lowest one)	0.0000	eV per atom
calculated total energy	-30.567	eV per formula unit

---

# 3
VASP calculation (PBE) on a geometry-optimized BaSi2Ni structure.

a = 3.2387 Å, b = 3.2387 Å, c = 7.3344 Å
α = 90.00°, β = 90.00°, γ = 90.00°
Space group P4/mmm (No. 123)
Unique sites:
Ba  0.0000  0.0000  0.0000
Si  0.5000  0.5000  0.3356
Ni  0.0000  0.0000  0.5000

## Properties
crystal system	tetragonal
spin magnetization	0.00	μB per cell
N(E_F)	3.105	states/eV/f.u.
calculated total energy	-18.626	eV per formula unit

---

# 4
VASP calculation (PBE) on a geometry-optimized Ba2SrGa2As4 structure.

a = 16.3747 Å, b = 4.3266 Å, c = 7.8042 Å
α = 90.00°, β = 109.64°, γ = 90.00°
Space group C2/m (No. 12)
Unique sites:
Ba  0.1299  0.0000  0.0547
Sr  0.0000  0.0000  0.5000
Ga  0.1676  0.5000  0.4758
As  0.0255  0.5000  0.2294
As  0.2114  0.0000  0.6795

## Properties
crystal system	monoclinic
spin magnetization	0.00	μB per cell
formation enthalpy at 0 K	-0.8625	eV/atom
N(E_F)	1.366	states/eV/f.u.
calculated total energy	-37.942	eV per formula unit

---

# 5
VASP calculation (PBE) on a geometry-optimized Dy2AlGe2Ir5 structure.

a = 9.7128 Å, b = 9.7128 Å, c = 3.6004 Å
α = 90.00°, β = 90.00°, γ = 90.00°
Space group P4/mbm (No. 127)
Unique sites:
Dy  0.1737  0.3263  0.0000
Al  0.0000  0.0000  0.0000
Ge  0.1261  0.6261  0.0000
Ir  0.0000  0.5000  0.5000
Ir  0.0642  0.7962  0.5000

## Properties
crystal system	tetragonal
spin magnetization	0.00	μB per cell
formation enthalpy at 0 K	-0.6861	eV/atom
N(E_F)	3.195	states/eV/f.u.
calculated total energy	-73.347	eV per formula unit

---

# 6
VASP calculation (PBE) on a geometry-optimized BaCdRh structure.

a = 3.7275 Å, b = 3.7275 Å, c = 11.4086 Å
α = 90.00°, β = 90.00°, γ = 90.00°
Space group I4mm (No. 107)
Unique sites:
Ba  0.0000  0.0000  0.0000
Cd  0.0000  0.0000  0.7170
Rh  0.0000  0.0000  0.3001

## Properties
crystal system	tetragonal
spin magnetization	0.00	μB per cell
formation enthalpy at 0 K	-0.0663	eV/atom
N(E_F)	3.022	states/eV/f.u.
calculated total energy	-10.388	eV per formula unit